Compound: SrSmSn2
Source: Alexandria
Functional: PBE
Structure: relaxed

Lattice parameters (Å, degrees): 3.589 3.589 9.275 90.00 90.00 90.00
Positions (direct):
Sr  0.000  0.000  0.000
Sm  0.000  0.000  0.500
Sn  0.500  0.500  0.262
Sn  0.500  0.500  0.738

E = -0.1554 Ha/atom
space group = P4/mmm (123)
magnetic moment = 0.0 μB per formula unit
calculated formation energy = -0.628 eV/atom